# 1
The following is a DFT calculation (PBE-GGA) of a geometry-optimized LaPmHo structure.

The space group is I4mm (No. 107) and the conventional cell measures 3.658, 3.658 and 15.374 Å, with angles of 90.00, 90.00 and 90.00 degrees. Symmetry generates all atoms from La at (0.000, 0.000, 0.000), Pm at (0.000, 0.000, 0.672) and Ho at (0.000, 0.000, 0.333).

Its crystal system is tetragonal. The formation energy is 0.1 eV/f.u. The uncorrected energy comes out at -4.723 eV/atom.



# 2
The following is a DFT calculation (PBE-GGA) of a geometry-optimized KHo3Pu2Te6 structure.

The space group is C2/m (No. 12) and the conventional cell measures 19.524, 4.385 and 9.043 Å, with angles of 90.00, 104.42 and 90.00 degrees. Symmetry generates all atoms from K at (0.000, 0.000, 0.000), Ho at (0.000, 0.000, 0.500), Ho at (0.165, 0.500, 0.829), Pu at (0.168, 0.500, 0.337), Te at (0.001, 0.500, 0.733), Te at (0.165, 0.000, 0.586) and Te at (0.173, 0.000, 0.080).

Its crystal system is monoclinic. The uncorrected energy comes out at -6.414 eV/atom. The raw formation energy comes out at -1.22 eV per atom.



# 3
The following is a DFT calculation (PBE-GGA) of a geometry-optimized InTcPb2 structure.

The space group is R-3m (No. 166, hexagonal axes) and the conventional cell measures 3.3268, 3.3268 and 31.1847 Å, with angles of 90.00, 90.00 and 120.00 degrees. Symmetry generates all atoms from In at (0.0000, 0.0000, 0.0000), Tc at (0.0000, 0.0000, 0.5000) and Pb at (0.0000, 0.0000, 0.2353).

Its crystal system is trigonal. The formation energy is 1.8 eV/f.u. The uncorrected energy comes out at -4.692 eV/atom.



# 4
The following is a DFT calculation (PBE-GGA) of a geometry-optimized RuSIN2 structure.

The space group is P4/mmm (No. 123) and the conventional cell measures 3.864, 3.864 and 5.390 Å, with angles of 90.00, 90.00 and 90.00 degrees. Symmetry generates all atoms from Ru at (0.000, 0.000, 0.000), S at (0.000, 0.000, 0.500), I at (0.500, 0.500, 0.500) and N at (0.000, 0.500, 0.000).

Its crystal system is tetragonal. The uncorrected energy comes out at -5.342 eV/atom. The raw formation energy comes out at 0.98 eV per atom.



# 5
The following is a DFT calculation (PBE-GGA) of a geometry-optimized KNa2Y2 structure.

The space group is P4/mbm (No. 127) and the conventional cell measures 10.780, 10.780 and 3.476 Å, with angles of 90.00, 90.00 and 90.00 degrees. Symmetry generates all atoms from K at (0.000, 0.000, 0.000), Na at (0.181, 0.319, 0.000) and Y at (0.108, 0.608, 0.500).

Its crystal system is tetragonal. The formation energy is 2.2 eV/f.u. The uncorrected energy comes out at -2.902 eV/atom.



# 6
The following is a DFT calculation (PBE-GGA) of a geometry-optimized KHgP structure.

The space group is P-6m2 (No. 187) and the conventional cell measures 4.4313, 4.4313 and 5.1262 Å, with angles of 90.00, 90.00 and 120.00 degrees. Symmetry generates all atoms from K at (0.0000, 0.0000, 0.0000), Hg at (0.3333, 0.6667, 0.5000) and P at (0.6667, 0.3333, 0.5000).

Its crystal system is hexagonal. The formation energy is -0.8 eV/f.u. The uncorrected energy comes out at -2.541 eV/atom.